# 1
Below is a relaxed structure of Mo3RuSe, with properties calculated at the PBE level.

- Symmetry: No. 221
- Formation energy without anion corrections: 6.9 eV/f.u.
- Energy above the lowest structure with this stoichiometry: 0 meV per atom
- Raw total energy: -38.306 eV for the cell shown

abc: 4.5355 4.5355 4.5355
angles: 90.00 90.00 90.00
Closest atoms and distances in Å follow each position.
Fractional coordinates of all 5 atoms:
Mo  0.0000  0.0000  0.5000  2 Se 2.27
Mo  0.0000  0.5000  0.0000  2 Se 2.27
Mo  0.5000  0.0000  0.0000  2 Se 2.27
Ru  0.5000  0.5000  0.5000  12 Mo 3.21
Se  0.0000  0.0000  0.0000  6 Mo 2.27

# 2
Below is a relaxed structure of MoRuSe2, with properties calculated at the PBE level.

- Symmetry: No. 8
- Formation energy without anion corrections: 0.2 eV/f.u.
- Energy above the lowest structure with this stoichiometry: 220 meV per atom
- Raw total energy: -26.872 eV for the cell shown

abc: 5.0181 5.0181 6.2373
angles: 96.94 96.94 36.80
Closest atoms and distances in Å follow each position.
Fractional coordinates of all 4 atoms:
Mo  0.0000  0.0000  0.0000  4 Se 2.48-2.65, 3 Ru 2.60-2.76
Ru  0.7180  0.7180  0.0584  3 Se 2.49-2.52, 3 Mo 2.60-2.76
Se  0.3050  0.3050  0.7909  2 Ru 2.52, 2 Mo 2.65
Se  0.5330  0.5330  0.3078  2 Mo 2.48, 1 Ru 2.49